# 1
# GGA-PBE ZnFe2Ag, relaxed
# formation enthalpy at 0 K = 0.153 eV/atom
data_ZnFe2Ag
_chemical_formula_sum 'Zn2 Fe4 Ag2'
_space_group_name_H-M_alt 'C m m 2'
_space_group_IT_number 35
_cell_length_a 3.260
_cell_length_b 4.177
_cell_length_c 8.247
_cell_angle_alpha 90.00
_cell_angle_beta 90.00
_cell_angle_gamma 90.00
loop_
_space_group_symop_operation_xyz
'x,y,z'
'-x,-y,z'
'-x,y,z'
'x,-y,z'
'x+1/2,y+1/2,z'
'-x+1/2,-y+1/2,z'
'-x+1/2,y+1/2,z'
'x+1/2,-y+1/2,z'
loop_
_atom_site_label
_atom_site_fract_x
_atom_site_fract_y
_atom_site_fract_z
Zn1 0.000 0.000 0.000
Fe1 0.000 0.000 0.456
Fe2 0.000 0.500 0.238
Ag1 0.000 0.500 0.725

# 2
# GGA-PBE KSbRu, relaxed
# formation energy without anion corrections = 0.22 eV per atom
data_KSbRu
_chemical_formula_sum 'K1 Sb1 Ru1'
_space_group_name_H-M_alt 'P 3 m 1'
_space_group_IT_number 156
_cell_length_a 4.3561
_cell_length_b 4.3561
_cell_length_c 5.6652
_cell_angle_alpha 90.00
_cell_angle_beta 90.00
_cell_angle_gamma 120.00
loop_
_space_group_symop_operation_xyz
'x,y,z'
'-y,x-y,z'
'-x+y,-x,z'
'-y,-x,z'
'-x+y,y,z'
'x,x-y,z'
loop_
_atom_site_label
_atom_site_fract_x
_atom_site_fract_y
_atom_site_fract_z
K1 0.0000 0.0000 0.0000
Sb1 0.3333 0.6667 0.4713
Ru1 0.6667 0.3333 0.5264

# 3
# GGA-PBE MgCuHgF6, relaxed
# formation energy without anion corrections = -2.13 eV per atom
data_MgCuHgF6
_chemical_formula_sum 'Mg2 Cu2 Hg2 F12'
_space_group_name_H-M_alt 'P -3 1 c'
_space_group_IT_number 163
_space_group_name_Hall '-P 3 2c'
_cell_length_a 5.3283
_cell_length_b 5.3283
_cell_length_c 9.8695
_cell_angle_alpha 90.00
_cell_angle_beta 90.00
_cell_angle_gamma 120.00
loop_
_atom_site_label
_atom_site_fract_x
_atom_site_fract_y
_atom_site_fract_z
Mg1 0.3333 0.6667 0.2500
Cu1 0.3333 0.6667 0.7500
Hg1 0.0000 0.0000 0.0000
F1 0.0040 0.3609 0.1399